Here is AcP2PdS8 after structural relaxation from the Alexandria database. Energies are from GGA-PBE.

a = 5.839 Å, b = 5.839 Å, c = 8.560 Å
α = 90.00°, β = 90.00°, γ = 120.00°
Fractional coordinates of all 12 atoms:
Ac 0.000 0.000 0.000
P 0.667 0.333 0.252
P 0.333 0.667 0.748
Pd 0.000 0.000 0.500
S 0.333 0.667 0.987
S 0.320 0.327 0.314
S 0.673 0.993 0.314
S 0.667 0.333 0.013
S 0.327 0.007 0.686
S 0.680 0.673 0.686
S 0.993 0.320 0.686
S 0.007 0.680 0.314

energy relative to the elements, uncorrected = -0.585 eV per atom
calculated density = 4.283 Mg/m³

***

Here is ZrScSiRh2 after structural relaxation from the Alexandria database. Energies are from GGA-PBE.

a = 4.423 Å, b = 4.840 Å, c = 4.423 Å
α = 90.00°, β = 90.00°, γ = 90.00°
Site moments in Bohr magnetons follow the coordinates.
Fractional coordinates of all 5 atoms:
Sc 0.000 0.500 0.000  0.33
Si 0.000 0.000 0.000  0.02
Rh 0.000 0.000 0.500  0.04
Rh 0.500 0.000 0.000  0.04
Zr 0.500 0.500 0.500  0.47

energy relative to the elements, uncorrected = -0.106 eV per atom
calculated density = 6.492 Mg/m³

***

Here is Ba2NaNi3H12 after structural relaxation from the Alexandria database. Energies are from GGA-PBE.

a = 6.323 Å, b = 6.323 Å, c = 6.323 Å
α = 60.41°, β = 60.41°, γ = 60.41°
Fractional coordinates of all 18 atoms:
Ba 0.611 0.611 0.611
Ba 0.389 0.389 0.389
Na 0.000 0.000 0.000
Ni 0.500 0.000 0.000
Ni 0.000 0.500 0.000
Ni 0.000 0.000 0.500
H 0.288 0.288 0.913
H 0.892 0.892 0.416
H 0.416 0.892 0.892
H 0.913 0.288 0.288
H 0.892 0.416 0.892
H 0.288 0.913 0.288
H 0.712 0.712 0.087
H 0.108 0.108 0.584
H 0.584 0.108 0.108
H 0.087 0.712 0.712
H 0.108 0.584 0.108
H 0.712 0.087 0.712

DFT total energy = -67.21 eV/cell
calculated density = 4.470 Mg/m³

***

Question: Number 1 is which compound?
Answer: AcP2PdS8